Entry 1:
This record from Alexandria describes a relaxed structure of Cs4LaU3S12. The functional is PBE.

a b c (Å): 9.2082 9.2082 9.2082
angles (deg): 109.47 109.47 109.47
Atoms (fractional coordinates):
Cs1 0.0000 0.0000 0.5000
Cs2 0.0000 0.5000 0.0000
Cs3 0.5000 0.0000 0.0000
Cs4 0.5000 0.5000 0.5000
La1 0.0000 0.0000 0.0000
U1 0.0000 0.5000 0.5000
U2 0.5000 0.0000 0.5000
U3 0.5000 0.5000 0.0000
S1 0.0000 0.2660 0.2660
S2 0.0000 0.7340 0.7340
S3 0.2500 0.5000 0.7500
S4 0.2500 0.7500 0.5000
S5 0.2660 0.0000 0.2660
S6 0.2660 0.2660 0.0000
S7 0.5000 0.2500 0.7500
S8 0.5000 0.7500 0.2500
S9 0.7340 0.0000 0.7340
S10 0.7340 0.7340 0.0000
S11 0.7500 0.2500 0.5000
S12 0.7500 0.5000 0.2500

formation energy without anion corrections: -1.405 eV per atom
calculated density: 4.89 Mg/m³
symmetry: Im-3m, No. 229

=====

Entry 2:
This record from Alexandria describes a relaxed structure of Sn2Ru. The functional is PBE.

a b c (Å): 6.4368 6.4368 5.7893
angles (deg): 90.00 90.00 90.00
Atoms (fractional coordinates):
Sn1 0.1628 0.3372 0.0000
Sn2 0.1628 0.6628 0.5000
Sn3 0.3372 0.1628 0.5000
Sn4 0.3372 0.8372 0.0000
Sn5 0.6628 0.1628 0.0000
Sn6 0.6628 0.8372 0.5000
Sn7 0.8372 0.3372 0.5000
Sn8 0.8372 0.6628 0.0000
Ru1 0.0000 0.0000 0.2500
Ru2 0.0000 0.0000 0.7500
Ru3 0.5000 0.5000 0.2500
Ru4 0.5000 0.5000 0.7500

energy of formation: -14.41 kJ per mole of atoms
calculated density: 9.37 Mg/m³
symmetry: I4/mcm, No. 140

=====

Entry 3:
This record from Alexandria describes a relaxed structure of Ba2SnBi4. The functional is PBE.

a b c (Å): 7.3509 7.3475 6.9534
angles (deg): 61.79 61.74 56.47
Atoms (fractional coordinates):
Ba1 0.0000 0.0000 0.5000
Ba2 0.5000 0.5000 0.0000
Sn1 0.0000 0.0000 0.0000
Bi1 0.0000 0.5000 0.0000
Bi2 0.0000 0.5000 0.5000
Bi3 0.5000 0.0000 0.0000
Bi4 0.5000 0.0000 0.5000

energy of formation: -45.03 kJ per mole of atoms
calculated density: 7.73 Mg/m³
symmetry: Fmmm, No. 69

=====

Entry 4:
This record from Alexandria describes a relaxed structure of Cu2BiO2. The functional is PBE.

a b c (Å): 6.5096 6.5096 3.1362
angles (deg): 90.00 90.00 90.00
Atoms (fractional coordinates):
Cu1 0.1310 0.3690 0.0000
Cu2 0.3690 0.8690 0.0000
Cu3 0.6310 0.1310 0.0000
Cu4 0.8690 0.6310 0.0000
Bi1 0.0000 0.0000 0.5000
Bi2 0.5000 0.5000 0.5000
O1 0.1671 0.6671 0.5000
O2 0.3329 0.1671 0.5000
O3 0.6671 0.8329 0.5000
O4 0.8329 0.3329 0.5000

excess energy over the best structure of this formula in the dataset: 0.059 eV per atom
formation energy without anion corrections: -0.080 eV per atom
calculated density: 9.20 Mg/m³
symmetry: P4/mbm, No. 127

=====

Entry 5:
This record from Alexandria describes a relaxed structure of Li2La3Mg2Hg4. The functional is PBE.

a b c (Å): 5.0264 5.0264 13.3265
angles (deg): 90.00 90.00 120.00
Atoms (fractional coordinates):
Li1 0.3333 0.6667 0.1359
Li2 0.6667 0.3333 0.8641
La1 0.0000 0.0000 0.0000
La2 0.0000 0.0000 0.2670
La3 0.0000 0.0000 0.7330
Mg1 0.3333 0.6667 0.5756
Mg2 0.6667 0.3333 0.4244
Hg1 0.3333 0.6667 0.3667
Hg2 0.3333 0.6667 0.8670
Hg3 0.6667 0.3333 0.1330
Hg4 0.6667 0.3333 0.6333

energy of formation: -29.86 kJ per mole of atoms
calculated density: 7.30 Mg/m³
symmetry: P-3m1, No. 164

=====

Entry 6:
This record from Alexandria describes a relaxed structure of Li3Pr2AlGe4. The functional is PBE.

a b c (Å): 4.2238 4.2238 10.7356
angles (deg): 90.00 90.00 90.00
Atoms (fractional coordinates):
Li1 0.0000 0.0000 0.0000
Li2 0.0000 0.5000 0.6275
Li3 0.5000 0.0000 0.3725
Pr1 0.0000 0.5000 0.2608
Pr2 0.5000 0.0000 0.7392
Al1 0.5000 0.5000 0.0000
Ge1 0.0000 0.0000 0.5000
Ge2 0.0000 0.5000 0.8557
Ge3 0.5000 0.0000 0.1443
Ge4 0.5000 0.5000 0.5000

energy of formation: -56.71 kJ per mole of atoms
calculated density: 5.38 Mg/m³
symmetry: P-4m2, No. 115